The following is a GGA+U calculation of PuTaCoO6 after structural relaxation, from Alexandria.

```
PuTaCoO6
1.0
5.4586 0.0000 0.0000
-2.7293 4.7273 0.0000
0.0000 0.0000 8.8826
Pu Ta O Co
2 2 12 2
Direct
0.6667 0.3333 0.7500 Pu
0.3333 0.6667 0.2500 Pu
0.3333 0.6667 0.7500 Ta
0.6667 0.3333 0.2500 Ta
0.6456 0.9812 0.8689 O
0.3544 0.3356 0.3689 O
0.3356 0.3544 0.8689 O
0.3356 0.9812 0.6311 O
0.0188 0.6644 0.8689 O
0.9812 0.6456 0.3689 O
0.6644 0.6456 0.1311 O
0.6644 0.0188 0.3689 O
0.3544 0.0188 0.1311 O
0.0188 0.3544 0.6311 O
0.6456 0.6644 0.6311 O
0.9812 0.3356 0.1311 O
0.0000 0.0000 0.0000 Co
0.0000 0.0000 0.5000 Co
```

Summary:
For the volume, the calculation gives 12.73 Å³ per atom. The density of states at the Fermi level comes out at 0.9619 states/eV/atom. For the raw total energy, the calculation gives -9.06 eV/atom. As for the spin magnetization: 12.000 μB/cell. As for the space-group type: No. 163.